The following is a PBE with a Hubbard U calculation of a relaxed ZnNiPO2 crystal, from the Alexandria database.

Computed properties:
calculated volume: 63 Å³/f.u.
ρ: 4.899 g/cm3
crystal system: tetragonal
energy above the lowest structure with this stoichiometry: 0.0000 eV/atom

Cell lengths 3.635, 3.635, 4.798 Å; angles 90.00, 90.00, 90.00 degrees
Space group P4/mmm (No. 123)
Symmetry-distinct sites (fractional):
Zn (0.000, 0.000, 0.000) (multiplicity 1)
Ni (0.500, 0.500, 0.500) (multiplicity 1)
P (0.500, 0.500, 0.000) (multiplicity 1)
O (0.000, 0.500, 0.500) (multiplicity 2)